1.
# TbCoB

Crystalline TbCoB at its relaxed geometry (PBE, the Alexandria database).

It has space group Pmma (No. 51), with a = 3.4118 Å, b = 3.9113 Å, c = 6.5493 Å, α = 90.00°, β = 90.00° and γ = 90.00°. The asymmetric unit holds Tb at (0.2500, 0.0000, 0.2388), Co at (0.2500, 0.5000, 0.6107) and B at (0.2500, 0.5000, 0.9334).

For the total magnetization, the calculation gives 0.00 μB per formula unit. The polymorph energy (0 for the lowest one) is 0.230 eV/atom. Its crystal system is orthorhombic.

2.
# TbPmScSe3

Crystalline TbPmScSe3 at its relaxed geometry (PBE, the Alexandria database).

It has space group P2_1/m (No. 11), with a = 8.3748 Å, b = 4.0585 Å, c = 9.2493 Å, α = 90.00°, β = 103.90° and γ = 90.00°. The asymmetric unit holds Tb at (0.1557, 0.2500, 0.1463), Pm at (0.3228, 0.7500, 0.7805), Sc at (0.3987, 0.7500, 0.4024), Se at (0.0743, 0.2500, 0.8228), Se at (0.2581, 0.2500, 0.5112) and Se at (0.4003, 0.7500, 0.1162).

The value obtained for the total energy is -5.93 eV per atom. For the total magnetization, the calculation gives 0.69 μB per formula unit. Its crystal system is monoclinic.

3.
# YSc2Ag

Crystalline YSc2Ag at its relaxed geometry (PBE, the Alexandria database).

It has space group Pmmm (No. 47), with a = 3.4225 Å, b = 4.4187 Å, c = 6.3855 Å, α = 90.00°, β = 90.00° and γ = 90.00°. The asymmetric unit holds Y at (0.0000, 0.0000, 0.0000), Sc at (0.5000, 0.5000, 0.2641) and Ag at (0.0000, 0.0000, 0.5000).

For the total magnetization, the calculation gives 0.00 μB per formula unit. The polymorph energy (0 for the lowest one) is 0.150 eV/atom. Its crystal system is orthorhombic.

4.
# CaEr2Co9

Crystalline CaEr2Co9 at its relaxed geometry (PBE, the Alexandria database).

It has space group R-3m (No. 166, hexagonal axes), with a = 5.0102 Å, b = 5.0102 Å, c = 23.9932 Å, α = 90.00°, β = 90.00° and γ = 120.00°. The asymmetric unit holds Ca at (0.0000, 0.0000, 0.0000), Er at (0.0000, 0.0000, 0.1394), Co at (0.0000, 0.0000, 0.3353), Co at (0.0000, 0.0000, 0.5000) and Co at (0.0046, 0.5023, 0.9176).

The value obtained for the total energy is -6.36 eV per atom. For the total magnetization, the calculation gives 11.63 μB per formula unit. Its crystal system is trigonal.

total magnetization of number 1 (TbCoB)? 0.00 μB per formula unit